(1)
The following is a PBE calculation of Ac2NiGe3 after structural relaxation, from Alexandria via LeMat-Bulk.

Output
- DOS at the Fermi energy (states/eV per cell) = 7.979
- symmetry = Fmmm (69)
- ΔE to the lowest computed polymorph (eV per atom) = 0.000
- E_form (eV/atom) = -0.726

a = 8.7357 Å, b = 8.5871 Å, c = 6.2845 Å
α = 70.00°, β = 67.47°, γ = 42.53°
With the nearest neighbours (Å) after each atom.
Positions (direct):
Ac  0.2449  0.7551  0.2449  10 Ge 3.36-3.43, 2 Ni 3.41
Ac  0.2500  0.2500  0.2500  8 Ge 3.34, 4 Ni 3.38
Ac  0.7500  0.7500  0.7500  8 Ge 3.34, 4 Ni 3.38
Ac  0.7551  0.2449  0.7551  10 Ge 3.36-3.43, 2 Ni 3.41
Ni  0.3335  0.3335  0.6665  3 Ge 2.36-2.37
Ni  0.6665  0.6665  0.3335  3 Ge 2.36-2.37
Ge  0.1739  0.1739  0.8261  1 Ni 2.37, 2 Ge 2.60
Ge  0.1755  0.6511  0.8245  1 Ni 2.36, 2 Ge 2.58-2.60
Ge  0.3489  0.8245  0.6511  1 Ni 2.36, 2 Ge 2.58-2.60
Ge  0.6511  0.1755  0.3489  1 Ni 2.36, 2 Ge 2.58-2.60
Ge  0.8245  0.3489  0.1755  1 Ni 2.36, 2 Ge 2.58-2.60
Ge  0.8261  0.8261  0.1739  1 Ni 2.37, 2 Ge 2.60

---

(2)
The following is a PBE calculation of HOsNO after structural relaxation, from Alexandria via LeMat-Bulk.

Output
- symmetry = Cm (8)
- ΔE to the lowest computed polymorph (eV per atom) = 0.031

a = 3.2165 Å, b = 3.2165 Å, c = 4.9675 Å
α = 109.20°, β = 109.20°, γ = 60.03°
With the nearest neighbours (Å) after each atom.
Positions (direct):
H  0.0000  0.0000  0.0000  1 O 1.00
Os  0.8271  0.8271  0.4745  3 N 1.95
N  0.5375  0.5375  0.6036  3 Os 1.95
O  0.0734  0.0734  0.2174  1 H 1.00

---

(3)
The following is a PBE calculation of CeHo8Bi2 after structural relaxation, from Alexandria via LeMat-Bulk.

Output
- DOS at the Fermi energy (states/eV per cell) = 15.064
- symmetry = C2/m (12)
- E_form (eV/atom) = -0.228

a = 9.3013 Å, b = 9.3013 Å, c = 8.1746 Å
α = 109.72°, β = 109.72°, γ = 30.27°
With the nearest neighbours (Å) after each atom.
Positions (direct):
Ce  0.0000  0.0000  0.0000  12 Ho 3.41-3.59
Ho  0.0931  0.0931  0.4665  2 Bi 3.28, 6 Ho 3.48-3.57, 1 Ce 3.59
Ho  0.1818  0.1818  0.9297  3 Bi 3.23-3.48, 7 Ho 3.36-3.56, 1 Ce 3.51
Ho  0.3524  0.3524  0.7879  3 Bi 3.35-3.42, 7 Ho 3.54-3.63, 2 Ce 3.57
Ho  0.4560  0.4560  0.2453  8 Ho 3.40-3.70, 2 Ce 3.41, 1 Bi 3.44
Ho  0.5440  0.5440  0.7547  8 Ho 3.40-3.70, 2 Ce 3.41, 1 Bi 3.44
Ho  0.6476  0.6476  0.2121  3 Bi 3.35-3.42, 7 Ho 3.54-3.63, 2 Ce 3.57
Ho  0.8182  0.8182  0.0703  3 Bi 3.23-3.48, 7 Ho 3.36-3.56, 1 Ce 3.51
Ho  0.9069  0.9069  0.5335  2 Bi 3.28, 6 Ho 3.48-3.57, 1 Ce 3.59
Bi  0.2845  0.2845  0.3417  9 Ho 3.23-3.48
Bi  0.7155  0.7155  0.6583  9 Ho 3.23-3.48

---

(4)
The following is a PBE calculation of Pm2Ge4IrAu3 after structural relaxation, from Alexandria via LeMat-Bulk.

Output
- DOS at the Fermi energy (states/eV per cell) = 4.476
- symmetry = P-4m2 (115)
- E_form (eV/atom) = -0.534

a = 4.3138 Å, b = 4.3138 Å, c = 10.9339 Å
α = 90.00°, β = 90.00°, γ = 90.00°
With the nearest neighbours (Å) after each atom.
Positions (direct):
Pm  0.0000  0.5000  0.2327  8 Ge 3.26-3.63, 2 Ir 3.34, 6 Au 3.34
Pm  0.5000  0.0000  0.7673  8 Ge 3.26-3.63, 2 Ir 3.34, 6 Au 3.34
Ge  0.0000  0.0000  0.5000  4 Au 2.66
Ge  0.0000  0.5000  0.8723  3 Au 2.51-2.57, 2 Ir 2.57
Ge  0.5000  0.0000  0.1277  3 Au 2.51-2.57, 2 Ir 2.57
Ge  0.5000  0.5000  0.5000  4 Au 2.66
Ir  0.5000  0.5000  0.0000  4 Ge 2.57
Au  0.0000  0.0000  0.0000  4 Ge 2.57
Au  0.0000  0.5000  0.6428  5 Ge 2.51-2.66
Au  0.5000  0.0000  0.3572  5 Ge 2.51-2.66

---

(5)
The following is a PBE calculation of Tb4Si2I3 after structural relaxation, from Alexandria via LeMat-Bulk.

Output
- DOS at the Fermi energy (states/eV per cell) = 8.876
- symmetry = C2/c (15)
- ΔE to the lowest computed polymorph (eV per atom) = 0.327

a = 10.2281 Å, b = 10.2281 Å, c = 5.7556 Å
α = 93.07°, β = 93.07°, γ = 84.38°
With the nearest neighbours (Å) after each atom.
Positions (direct):
Tb  0.0821  0.6587  0.9940  2 Si 2.79-2.81, 1 I 3.11
Tb  0.2002  0.3911  0.5519  3 Si 2.80-2.92
Tb  0.3413  0.9179  0.5060  2 Si 2.79-2.81, 1 I 3.11
Tb  0.3911  0.2002  0.0519  3 Si 2.80-2.92
Tb  0.6089  0.7998  0.9481  3 Si 2.80-2.92
Tb  0.6587  0.0821  0.4940  2 Si 2.79-2.81, 1 I 3.11
Tb  0.7998  0.6089  0.4481  3 Si 2.80-2.92
Tb  0.9179  0.3413  0.0060  2 Si 2.79-2.81, 1 I 3.11
Si  0.1802  0.3960  0.0571  5 Tb 2.79-2.92
Si  0.3960  0.1802  0.5571  5 Tb 2.79-2.92
Si  0.6040  0.8198  0.4429  5 Tb 2.79-2.92
Si  0.8198  0.6040  0.9429  5 Tb 2.79-2.92
I  0.0373  0.7876  0.4887  3 Tb 3.11-3.25
I  0.2124  0.9627  0.0113  3 Tb 3.11-3.25
I  0.3699  0.6301  0.7500  4 Tb 3.26-3.31
I  0.6301  0.3699  0.2500  4 Tb 3.26-3.31
I  0.7876  0.0373  0.9887  3 Tb 3.11-3.25
I  0.9627  0.2124  0.5113  3 Tb 3.11-3.25

---

(6)
The following is a PBE calculation of TlZn2SbF8 after structural relaxation, from Alexandria via LeMat-Bulk.

Output
- DOS at the Fermi energy (states/eV per cell) = 0.000
- symmetry = R-3 (148)

a = 8.7201 Å, b = 8.7201 Å, c = 8.7201 Å
α = 36.31°, β = 36.31°, γ = 36.31°
With the nearest neighbours (Å) after each atom.
Positions (direct):
Tl  0.0000  0.0000  0.0000  12 F 3.14-3.33
Zn  0.2534  0.2534  0.2534  4 F 1.86-1.96
Zn  0.7466  0.7466  0.7466  4 F 1.86-1.96
Sb  0.5000  0.5000  0.5000  6 F 2.21
F  0.1141  0.4552  0.7691  1 Zn 1.96
F  0.2309  0.8859  0.5448  1 Zn 1.96
F  0.3297  0.3297  0.3297  1 Zn 1.86
F  0.4552  0.7691  0.1141  1 Zn 1.96
F  0.5448  0.2309  0.8859  1 Zn 1.96
F  0.6703  0.6703  0.6703  1 Zn 1.86
F  0.7691  0.1141  0.4552  1 Zn 1.96
F  0.8859  0.5448  0.2309  1 Zn 1.96

---

no.,VASP energy (eV per atom)
1,-5.368
2,-7.129
3,-4.802
4,-5.201
5,-4.495
6,-4.151